Entry 1:
DFT (GGA-PBE) results for a geometry-optimized Rb2LiMnS4 structure.

It has space group Fddd (No. 70, origin choice 2), with a = 5.741 Å, b = 13.301 Å, c = 23.827 Å, α = 90.00°, β = 90.00° and γ = 90.00°. The inequivalent atoms are Rb at (0.125, 0.125, 0.303), Li at (0.125, 0.125, 0.125), Mn at (0.125, 0.125, 0.625) and S at (0.088, 0.283, 0.824).

The electronic total energy is -4.61 eV/atom. The value obtained for the formation energy (no corrections) is -7.3 eV per formula unit.

=====

Entry 2:
DFT (GGA-PBE) results for a geometry-optimized RbLiMnSe3 structure.

It has space group Cmcm (No. 63), with a = 6.962 Å, b = 13.194 Å, c = 6.847 Å, α = 90.00°, β = 90.00° and γ = 90.00°. The inequivalent atoms are Rb at (0.000, 0.243, 0.250), Li at (0.000, 0.420, 0.750), Mn at (0.000, 0.054, 0.750), Se at (0.000, 0.230, 0.750) and Se at (0.234, 0.000, 0.000).

The electronic total energy is -4.54 eV/atom. The value obtained for the formation energy (no corrections) is -4.7 eV per formula unit.

=====

Entry 3:
DFT (GGA-PBE) results for a geometry-optimized RbLiMn2Se4 structure.

It has space group Cmcm (No. 63), with a = 3.996 Å, b = 13.311 Å, c = 13.708 Å, α = 90.00°, β = 90.00° and γ = 90.00°. The inequivalent atoms are Rb at (0.000, 0.114, 0.250), Li at (0.000, 0.170, 0.750), Mn at (0.000, 0.368, 0.062), Se at (0.000, 0.000, 0.000), Se at (0.000, 0.254, 0.593) and Se at (0.000, 0.423, 0.250).

The electronic total energy is -5.02 eV/atom. The value obtained for the formation energy (no corrections) is -5.0 eV per formula unit.

=====

Entry 4:
DFT (GGA-PBE) results for a geometry-optimized RbLiTa2Mn structure.

It has space group P4/mmm (No. 123), with a = 4.604 Å, b = 4.604 Å, c = 5.812 Å, α = 90.00°, β = 90.00° and γ = 90.00°. The inequivalent atoms are Rb at (0.000, 0.000, 0.000), Li at (0.500, 0.500, 0.000), Ta at (0.000, 0.500, 0.500) and Mn at (0.500, 0.500, 0.500).

The electronic total energy is -6.06 eV/atom. The calculation puts the formation energy at 1.09 eV/atom.

=====

Entry 5:
DFT (GGA-PBE) results for a geometry-optimized Rb2LiTaMn structure.

It has space group P4/mmm (No. 123), with a = 5.912 Å, b = 5.912 Å, c = 4.855 Å, α = 90.00°, β = 90.00° and γ = 90.00°. The inequivalent atoms are Rb at (0.000, 0.500, 0.000), Li at (0.000, 0.000, 0.500), Ta at (0.500, 0.500, 0.500) and Mn at (0.000, 0.000, 0.000).

The electronic total energy is -3.02 eV/atom. The calculation puts the formation energy at 1.95 eV/atom.

=====

Entry 6:
DFT (GGA-PBE) results for a geometry-optimized RbLiTaMn2 structure.

It has space group P4/mmm (No. 123), with a = 4.962 Å, b = 4.962 Å, c = 4.797 Å, α = 90.00°, β = 90.00° and γ = 90.00°. The inequivalent atoms are Rb at (0.000, 0.000, 0.000), Li at (0.500, 0.500, 0.500), Ta at (0.500, 0.500, 0.000) and Mn at (0.000, 0.500, 0.500).

The electronic total energy is -5.04 eV/atom. The calculation puts the formation energy at 1.57 eV/atom.

=====

Entry 7:
DFT (GGA-PBE) results for a geometry-optimized LiMn3Re structure.

It has space group Pm-3m (No. 221), with a = 4.737 Å, b = 4.737 Å, c = 4.737 Å, α = 90.00°, β = 90.00° and γ = 90.00°. The inequivalent atoms are Li at (0.000, 0.000, 0.000), Mn at (0.000, 0.500, 0.500) and Re at (0.500, 0.500, 0.500).

The electronic total energy is -7.27 eV/atom. The calculation puts the formation energy at 1.11 eV/atom.

=====

Entry 8:
DFT (GGA-PBE) results for a geometry-optimized Li2MnRe structure.

It has space group P2/m (No. 10), with a = 2.575 Å, b = 4.710 Å, c = 4.580 Å, α = 90.00°, β = 97.54° and γ = 90.00°. The inequivalent atoms are Li at (0.217, 0.000, 0.244), Mn at (0.000, 0.500, 0.500) and Re at (0.500, 0.500, 0.000).

The electronic total energy is -6.07 eV/atom. The calculation puts the formation energy at 0.29 eV/atom. The energy above the most stable polymorph in this dataset is 64 meV/atom.

=====

Entry 9:
DFT (GGA-PBE) results for a geometry-optimized Li2MnRe structure.

It has space group Pm (No. 6), with a = 2.511 Å, b = 4.112 Å, c = 5.338 Å, α = 90.00°, β = 98.14° and γ = 90.00°. The inequivalent atoms are Li at (0.000, 0.000, 0.000), Li at (0.248, 0.500, 0.779), Mn at (0.786, 0.500, 0.304) and Re at (0.527, 0.000, 0.475).

The electronic total energy is -6.08 eV/atom. The calculation puts the formation energy at 0.28 eV/atom. The energy above the most stable polymorph in this dataset is 49 meV/atom.

=====

Entry 10:
DFT (GGA-PBE) results for a geometry-optimized Li2MnRe structure.

It has space group I-42d (No. 122), with a = 6.784 Å, b = 6.784 Å, c = 4.782 Å, α = 90.00°, β = 90.00° and γ = 90.00°. The inequivalent atoms are Li at (0.239, 0.750, 0.125), Mn at (0.000, 0.000, 0.000) and Re at (0.000, 0.000, 0.500).

The electronic total energy is -5.50 eV/atom. The calculation puts the formation energy at 0.87 eV/atom. The energy above the most stable polymorph in this dataset is 636 meV/atom.

=====

Entry 11:
DFT (GGA-PBE) results for a geometry-optimized Li2MnRe structure.

It has space group Pmmm (No. 47), with a = 2.471 Å, b = 4.518 Å, c = 4.768 Å, α = 90.00°, β = 90.00° and γ = 90.00°. The inequivalent atoms are Li at (0.000, 0.000, 0.249), Mn at (0.500, 0.500, 0.500) and Re at (0.500, 0.500, 0.000).

The electronic total energy is -5.95 eV/atom. The calculation puts the formation energy at 0.41 eV/atom. The energy above the most stable polymorph in this dataset is 182 meV/atom.

=====

Entry 12:
DFT (GGA-PBE) results for a geometry-optimized LiMn2Re structure.

It has space group P4/mmm (No. 123), with a = 4.288 Å, b = 4.288 Å, c = 2.834 Å, α = 90.00°, β = 90.00° and γ = 90.00°. The inequivalent atoms are Li at (0.000, 0.000, 0.000), Mn at (0.000, 0.500, 0.500) and Re at (0.500, 0.500, 0.000).

The electronic total energy is -7.92 eV/atom. The calculation puts the formation energy at 0.26 eV/atom.